Record 1
The following is a GGA-PBE calculation of a relaxed structure of Sc4ZnCd, from the Alexandria database.

Properties
Space group: P4/mmm
M_tot, μB/atom: 0.315
Calculated formation energy, eV/atom: -0.202
E above lowest polymorph, eV per formula unit: 0.00
DOS at the Fermi energy, states/eV/cell: 7.2

Lattice parameters (Å, degrees): 3.281 3.281 12.257 90.00 90.00 90.00
Last column: magnetic moment on the atom in μB.
Fractional positions:
1 Sc 0.500 0.500 0.856  0.26
2 Sc 0.500 0.500 0.144  0.26
3 Sc 0.000 0.000 0.669  0.31
4 Sc 0.000 0.000 0.331  0.31
5 Zn 0.000 0.000 0.000  0.01
6 Cd 0.500 0.500 0.500  0.01


Record 2
The following is a GGA-PBE calculation of a relaxed structure of TmNpRh2, from the Alexandria database.

Properties
Space group: P4/mmm
M_tot, μB/atom: 0.854
Calculated formation energy, eV/atom: -0.562
E above lowest polymorph, eV per formula unit: 0.00
DOS at the Fermi energy, states/eV/cell: 5.9

Lattice parameters (Å, degrees): 3.363 4.829 4.829 90.00 90.00 90.00
Last column: magnetic moment on the atom in μB.
Fractional positions:
1 Np 0.500 0.500 0.500  3.56
2 Tm 0.500 0.000 0.000  0.08
3 Rh 0.000 0.000 0.500  -0.21
4 Rh 0.000 0.500 0.000  -0.21